Record 1
MgMn2B2 (PBE-GGA, optimized geometry); crystal system = tetragonal; E_form = -0.774 eV per formula unit; uncorrected energy = -6.81 eV/atom; SG = P4/mbm, No. 127
1.0
5.667 0.000 0.000
0.000 5.667 0.000
0.000 0.000 2.879
Mg Mn B
2 4 4
direct
0.000 0.000 0.000 Mg
0.500 0.500 0.000 Mg
0.168 0.668 0.500 Mn
0.668 0.832 0.500 Mn
0.832 0.332 0.500 Mn
0.332 0.168 0.500 Mn
0.389 0.889 0.000 B
0.889 0.611 0.000 B
0.611 0.111 0.000 B
0.111 0.389 0.000 B



Record 2
Mg2MnB2 (PBE-GGA, optimized geometry); crystal system = tetragonal; E_form = 0.859 eV per formula unit; uncorrected energy = -4.97 eV/atom; SG = P4/mbm, No. 127
1.0
-5.390 0.283 -1.967
1.312 -3.765 -4.136
-0.954 -2.766 2.215
Mg Mn B
4 2 4
direct
0.184 0.684 0.500 Mg
0.684 0.816 0.500 Mg
0.816 0.316 0.500 Mg
0.316 0.184 0.500 Mg
0.000 0.000 0.000 Mn
0.500 0.500 0.000 Mn
0.398 0.898 0.000 B
0.898 0.602 0.000 B
0.602 0.102 0.000 B
0.102 0.398 0.000 B



Record 3
MgMnB3 (PBE-GGA, optimized geometry); crystal system = cubic; E_form = 2.559 eV per formula unit; uncorrected energy = -5.65 eV/atom; excess energy over the best structure of this formula in the dataset = 0 meV per atom; SG = Pm-3m, No. 221
1.0
-0.186 -3.751 0.639
3.523 -0.412 -1.392
1.439 0.523 3.488
Mg Mn B
1 1 3
direct
0.500 0.500 0.500 Mg
0.000 0.000 0.000 Mn
0.000 0.500 0.000 B
0.000 0.000 0.500 B
0.500 0.000 0.000 B



> Which of these has the highest E_form?

MgMnB3



> Number 2 is which compound?

Mg2MnB2



> Which formula does entry 2 have?

Mg2MnB2